No. 1
## PmEr2Si6 (PBE-GGA)

Data for an optimized crystal structure of PmEr2Si6.

Properties
- raw total energy (eV/atom) = -5.6760
- E_form (uncorrected) (eV/f.u.) = -4.7

abc: 7.1076 7.1076 3.9539
angles: 90.00 90.00 120.00
With the nearest neighbours (Å) after each atom.
Positions (direct):
Pm 0.0000 0.0000 0.0000  12 Si 3.10
Er 0.3333 0.6667 0.0000  12 Si 3.08
Er 0.6667 0.3333 0.0000  12 Si 3.08
Si 0.0000 0.3359 0.5000  3 Si 2.33-2.39
Si 0.0000 0.6641 0.5000  3 Si 2.33-2.39
Si 0.3359 0.0000 0.5000  3 Si 2.33-2.39
Si 0.3359 0.3359 0.5000  3 Si 2.33-2.39
Si 0.6641 0.0000 0.5000  3 Si 2.33-2.39
Si 0.6641 0.6641 0.5000  3 Si 2.33-2.39

=====

No. 2
## Fe2NiRh (PBE-GGA)

Data for an optimized crystal structure of Fe2NiRh.

Properties
- ΔE_f (eV/f.u.) = 0.228
- raw total energy (eV/atom) = -7.4576

abc: 8.5212 8.5212 8.5212
angles: 17.79 17.79 17.79
With the nearest neighbours (Å) after each atom.
Positions (direct):
Fe 0.2466 0.2466 0.2466  3 Ni 2.52, 6 Fe 2.64, 3 Rh 2.66
Fe 0.7534 0.7534 0.7534  3 Ni 2.52, 6 Fe 2.64, 3 Rh 2.66
Ni 0.5000 0.5000 0.5000  6 Fe 2.52, 6 Ni 2.64
Rh 0.0000 0.0000 0.0000  6 Rh 2.64, 6 Fe 2.66

=====

No. 3
## LaAlIr (PBE-GGA)

Data for an optimized crystal structure of LaAlIr.

Properties
- ΔE_f (eV/f.u.) = -1.757
- raw total energy (eV/atom) = -6.4294

abc: 6.3835 6.3835 6.3835
angles: 150.93 150.93 41.58
With the nearest neighbours (Å) after each atom.
Positions (direct):
La 0.0000 0.0000 0.0000  4 Ir 3.13, 4 La 3.20, 5 Al 3.39-3.43
Al 0.2840 0.2840 0.0000  4 Ir 2.58
Ir 0.6812 0.6812 0.0000  4 Al 2.58

=====

No. 4
## CePmGeAs (PBE-GGA)

Data for an optimized crystal structure of CePmGeAs.

Properties
- ΔE_f (eV/f.u.) = -3.188
- raw total energy (eV/atom) = -5.7849

abc: 5.1528 5.1528 5.1528
angles: 60.00 60.00 60.00
With the nearest neighbours (Å) after each atom.
Positions (direct):
Ce 0.0000 0.0000 0.0000  4 As 3.16, 4 Ge 3.16
Pm 0.5000 0.5000 0.5000  4 Ge 3.16, 4 As 3.16
Ge 0.2500 0.2500 0.2500  4 Ce 3.16, 4 Pm 3.16
As 0.7500 0.7500 0.7500  4 Ce 3.16, 4 Pm 3.16

=====

> Among the records above, which one has the highest raw total energy?

PmEr2Si6

=====

> Which of these has the highest raw total energy?

PmEr2Si6

=====

Please write out number 3 again, unchanged.
## LaAlIr (PBE-GGA)

Data for an optimized crystal structure of LaAlIr.

Properties
- ΔE_f (eV/f.u.) = -1.757
- raw total energy (eV/atom) = -6.4294

abc: 6.3835 6.3835 6.3835
angles: 150.93 150.93 41.58
With the nearest neighbours (Å) after each atom.
Positions (direct):
La 0.0000 0.0000 0.0000  4 Ir 3.13, 4 La 3.20, 5 Al 3.39-3.43
Al 0.2840 0.2840 0.0000  4 Ir 2.58
Ir 0.6812 0.6812 0.0000  4 Al 2.58

=====

Please write out number 1 again, unchanged.
## PmEr2Si6 (PBE-GGA)

Data for an optimized crystal structure of PmEr2Si6.

Properties
- raw total energy (eV/atom) = -5.6760
- E_form (uncorrected) (eV/f.u.) = -4.7

abc: 7.1076 7.1076 3.9539
angles: 90.00 90.00 120.00
With the nearest neighbours (Å) after each atom.
Positions (direct):
Pm 0.0000 0.0000 0.0000  12 Si 3.10
Er 0.3333 0.6667 0.0000  12 Si 3.08
Er 0.6667 0.3333 0.0000  12 Si 3.08
Si 0.0000 0.3359 0.5000  3 Si 2.33-2.39
Si 0.0000 0.6641 0.5000  3 Si 2.33-2.39
Si 0.3359 0.0000 0.5000  3 Si 2.33-2.39
Si 0.3359 0.3359 0.5000  3 Si 2.33-2.39
Si 0.6641 0.0000 0.5000  3 Si 2.33-2.39
Si 0.6641 0.6641 0.5000  3 Si 2.33-2.39